[1]
The following is a DFT calculation (PBE) of Na2U2NiS6 after structural relaxation.

Summary:
- Space group: C2/m, No. 12
- Energy relative to the elements, uncorrected: -12.0 eV/f.u.
- Calculated volume: 23.5 Å³/atom
- Theoretical density: 4.97 Mg/m³

Lattice parameters (Å, degrees): 6.659 6.659 7.112 98.37 98.37 121.02
Site moments in Bohr magnetons follow the coordinates.
Element x y z (fractional)
S 0.767 0.767 0.702  -0.02
S 0.406 0.068 0.719  -0.03
S 0.932 0.594 0.281  -0.03
S 0.233 0.233 0.298  -0.02
S 0.068 0.406 0.719  -0.03
S 0.594 0.932 0.281  -0.03
Na 0.838 0.162 0.000  0.00
Na 0.162 0.838 0.000  0.00
U 0.336 0.664 0.500  1.79
U 0.664 0.336 0.500  1.79
Ni 0.000 0.000 0.500  0.88

[2]
The following is a DFT calculation (PBE) of NaU2NiS5 after structural relaxation.

Summary:
- Space group: Immm, No. 71
- Energy relative to the elements, uncorrected: -9.9 eV/f.u.
- Calculated volume: 21.7 Å³/atom
- Theoretical density: 6.11 Mg/m³

Lattice parameters (Å, degrees): 4.287 6.721 7.858 115.32 105.83 90.00
Site moments in Bohr magnetons follow the coordinates.
Element x y z (fractional)
S 0.000 0.000 0.000  -0.08
S 0.650 0.398 0.299  -0.08
S 0.350 0.098 0.701  -0.08
S 0.650 0.902 0.299  -0.08
S 0.350 0.602 0.701  -0.08
Ni 0.500 0.000 0.000  -0.35
U 0.807 0.807 0.613  1.98
U 0.193 0.193 0.387  1.98
Na 0.000 0.500 0.000  0.00

[3]
The following is a DFT calculation (PBE) of NaU2Ni2S4 after structural relaxation.

Summary:
- Space group: C2/m, No. 12
- Energy relative to the elements, uncorrected: -8.5 eV/f.u.
- Calculated volume: 17.3 Å³/atom
- Theoretical density: 7.92 Mg/m³

Lattice parameters (Å, degrees): 3.582 7.174 6.795 111.87 90.00 104.46
Site moments in Bohr magnetons follow the coordinates.
Element x y z (fractional)
S 0.474 0.948 0.267  -0.08
S 0.210 0.420 0.230  -0.06
S 0.526 0.052 0.733  -0.08
S 0.790 0.580 0.770  -0.06
U 0.132 0.264 0.569  2.45
U 0.868 0.736 0.431  2.45
Na 0.000 0.000 0.000  0.00
Ni 0.686 0.372 0.000  -0.23
Ni 0.314 0.628 0.000  -0.23

[4]
The following is a DFT calculation (PBE) of Na3U2NiS6 after structural relaxation.

Summary:
- Space group: C2/m, No. 12
- Energy relative to the elements, uncorrected: -13.4 eV/f.u.
- Calculated volume: 21.4 Å³/atom
- Theoretical density: 5.15 Mg/m³

Lattice parameters (Å, degrees): 6.643 6.643 7.077 98.89 98.89 120.21
Site moments in Bohr magnetons follow the coordinates.
Element x y z (fractional)
Na 0.500 0.500 0.500  0.00
Na 0.835 0.165 0.500  0.00
Na 0.165 0.835 0.500  0.00
S 0.074 0.399 0.224  -0.03
S 0.926 0.601 0.776  -0.03
S 0.753 0.753 0.218  -0.03
S 0.247 0.247 0.782  -0.03
S 0.601 0.926 0.776  -0.03
S 0.399 0.074 0.224  -0.03
U 0.667 0.333 0.000  2.05
U 0.333 0.667 0.000  2.05
Ni 0.000 0.000 0.000  0.80

[5]
The following is a DFT calculation (PBE) of Na4U3NiS8 after structural relaxation.

Summary:
- Space group: C2/m, No. 12
- Energy relative to the elements, uncorrected: -18.9 eV/f.u.
- Calculated volume: 21.9 Å³/atom
- Theoretical density: 5.32 Mg/m³

Lattice parameters (Å, degrees): 7.613 8.098 7.797 118.81 119.22 90.00
Site moments in Bohr magnetons follow the coordinates.
Element x y z (fractional)
S 0.222 0.710 0.981  -0.03
S 0.744 0.260 0.489  -0.05
S 0.241 0.290 0.019  -0.03
S 0.742 0.735 0.484  -0.06
S 0.778 0.290 0.019  -0.03
S 0.258 0.265 0.516  -0.06
S 0.256 0.740 0.511  -0.05
S 0.759 0.710 0.981  -0.03
Na 0.500 0.000 0.500  0.00
Na 0.500 0.000 0.000  0.00
Na 0.000 0.000 0.000  0.00
Na 0.000 0.000 0.500  0.00
U 0.500 0.500 0.000  2.21
U 0.000 0.500 0.500  2.22
U 0.500 0.500 0.500  2.22
Ni 0.000 0.500 0.000  0.51

[6]
The following is a DFT calculation (PBE) of NaU4Ni3S12 after structural relaxation.

Summary:
- Space group: Im-3, No. 204
- Energy relative to the elements, uncorrected: -17.7 eV/f.u.
- Calculated volume: 22.0 Å³/atom
- Theoretical density: 5.79 Mg/m³

Lattice parameters (Å, degrees): 8.300 8.300 8.300 109.47 109.47 109.47
Site moments in Bohr magnetons follow the coordinates.
Element x y z (fractional)
S 0.676 0.840 0.516  -0.04
S 0.324 0.160 0.484  -0.04
S 0.165 0.324 0.840  -0.04
S 0.516 0.676 0.840  -0.04
S 0.324 0.840 0.165  -0.04
S 0.676 0.160 0.835  -0.04
S 0.160 0.835 0.676  -0.04
S 0.484 0.324 0.160  -0.04
S 0.160 0.484 0.324  -0.04
S 0.835 0.676 0.160  -0.04
S 0.840 0.516 0.676  -0.04
S 0.840 0.165 0.324  -0.04
Ni 0.500 0.500 0.000  0.36
Ni 0.500 0.000 0.500  0.36
Ni 0.000 0.500 0.500  0.36
U 0.500 0.500 0.500  1.52
U 0.000 0.000 0.500  1.52
U 0.500 0.000 0.000  1.52
U 0.000 0.500 0.000  1.52
Na 0.000 0.000 0.000  0.00

[7]
The following is a DFT calculation (PBE) of Na3V3NiS8 after structural relaxation.

Summary:
- Space group: R-3m, No. 166
- Energy relative to the elements, uncorrected: -13.0 eV/f.u.
- Calculated volume: 18.8 Å³/atom
- Theoretical density: 3.17 Mg/m³

Lattice parameters (Å, degrees): 6.967 6.968 7.807 116.51 90.00 120.00
Site moments in Bohr magnetons follow the coordinates.
Element x y z (fractional)
S 0.227 0.966 0.693  -0.05
S 0.735 0.471 0.705  -0.05
S 0.227 0.455 0.693  -0.05
S 0.738 0.966 0.693  -0.05
S 0.773 0.034 0.307  -0.05
S 0.265 0.529 0.295  -0.05
S 0.262 0.034 0.307  -0.05
S 0.773 0.545 0.307  -0.05
Na 0.500 0.500 0.000  0.00
Na 0.000 0.500 0.000  0.00
Na 0.000 0.000 0.000  0.00
V 0.500 0.500 0.500  1.54
V 0.500 0.000 0.500  1.54
V 0.000 0.500 0.500  1.54
Ni 0.000 0.000 0.500  0.06

[8]
The following is a DFT calculation (PBE) of Na3Ni2WS6 after structural relaxation.

Summary:
- Space group: C2/m, No. 12
- Energy relative to the elements, uncorrected: -6.8 eV/f.u.
- Calculated volume: 17.9 Å³/atom
- Theoretical density: 4.36 Mg/m³

Lattice parameters (Å, degrees): 6.163 6.163 6.762 99.80 99.80 117.82
Site moments in Bohr magnetons follow the coordinates.
Element x y z (fractional)
S 0.284 0.284 0.818  -0.03
S 0.949 0.607 0.803  -0.03
S 0.716 0.716 0.182  -0.03
S 0.051 0.393 0.197  -0.03
S 0.393 0.051 0.197  -0.03
S 0.607 0.949 0.803  -0.03
Ni 0.331 0.669 0.000  -0.27
Ni 0.669 0.331 0.000  -0.27
W 0.000 0.000 0.000  0.86
Na 0.164 0.836 0.500  0.00
Na 0.836 0.164 0.500  0.00
Na 0.500 0.500 0.500  0.00

[9]
The following is a DFT calculation (PBE) of Na4Zr3NiS8 after structural relaxation.

Summary:
- Space group: R-3m, No. 166
- Energy relative to the elements, uncorrected: -20.5 eV/f.u.
- Calculated volume: 19.9 Å³/atom
- Theoretical density: 3.55 Mg/m³

Lattice parameters (Å, degrees): 7.403 7.955 7.405 117.75 119.99 90.00
Site moments in Bohr magnetons follow the coordinates.
Element x y z (fractional)
Na 0.000 0.000 0.500  0.00
Na 0.500 0.000 0.500  0.00
Na 0.500 0.000 0.000  0.01
Na 0.000 0.000 0.000  0.00
S 0.746 0.715 0.980  0.04
S 0.765 0.285 0.020  0.04
S 0.765 0.285 0.529  0.04
S 0.235 0.715 0.471  0.04
S 0.742 0.725 0.483  0.00
S 0.254 0.285 0.020  0.04
S 0.258 0.275 0.517  0.00
S 0.235 0.715 0.980  0.04
Ni 0.000 0.500 0.000  1.07
Zr 0.000 0.500 0.500  0.00
Zr 0.500 0.500 0.000  0.00
Zr 0.500 0.500 0.500  0.00

[10]
The following is a DFT calculation (PBE) of Na3Zr2NiS6 after structural relaxation.

Summary:
- Space group: C2/m, No. 12
- Energy relative to the elements, uncorrected: -14.5 eV/f.u.
- Calculated volume: 19.9 Å³/atom
- Theoretical density: 3.50 Mg/m³

Lattice parameters (Å, degrees): 6.435 6.435 6.985 98.85 98.85 120.00
Site moments in Bohr magnetons follow the coordinates.
Element x y z (fractional)
S 0.744 0.744 0.215  0.03
S 0.928 0.600 0.785  0.03
S 0.072 0.400 0.215  0.03
S 0.400 0.072 0.215  0.03
S 0.256 0.256 0.785  0.03
S 0.600 0.928 0.785  0.03
Na 0.500 0.500 0.500  0.00
Na 0.833 0.167 0.500  0.00
Na 0.167 0.833 0.500  0.00
Ni 0.000 0.000 0.000  0.97
Zr 0.334 0.666 0.000  -0.08
Zr 0.666 0.334 0.000  -0.08

[11]
The following is a DFT calculation (PBE) of Na2Zr2NiS6 after structural relaxation.

Summary:
- Space group: C2/m, No. 12
- Energy relative to the elements, uncorrected: -13.2 eV/f.u.
- Calculated volume: 21.5 Å³/atom
- Theoretical density: 3.37 Mg/m³

Lattice parameters (Å, degrees): 6.332 6.332 7.144 98.56 98.56 120.14
Site moments in Bohr magnetons follow the coordinates.
Element x y z (fractional)
Zr 0.333 0.667 0.500  0.03
Zr 0.667 0.333 0.500  0.03
Na 0.167 0.833 0.000  0.00
Na 0.833 0.167 0.000  0.00
Ni 0.000 0.000 0.500  1.24
S 0.751 0.751 0.707  0.07
S 0.396 0.071 0.711  0.07
S 0.929 0.604 0.289  0.07
S 0.071 0.396 0.711  0.07
S 0.249 0.249 0.293  0.07
S 0.604 0.929 0.289  0.07

[12]
The following is a DFT calculation (PBE) of Na3Zr3NiS8 after structural relaxation.

Summary:
- Space group: C2/m, No. 12
- Energy relative to the elements, uncorrected: -19.0 eV/f.u.
- Calculated volume: 21.1 Å³/atom
- Theoretical density: 3.44 Mg/m³

Lattice parameters (Å, degrees): 7.170 7.467 8.069 118.70 90.00 118.69
Element x y z (fractional)
S 0.210 0.979 0.694
S 0.790 0.021 0.306
S 0.261 0.521 0.275
S 0.716 0.432 0.252
S 0.739 0.479 0.725
S 0.768 0.979 0.694
S 0.284 0.568 0.748
S 0.232 0.021 0.306
Zr 0.500 0.000 0.500
Zr 0.500 0.500 0.500
Zr 0.000 0.500 0.500
Ni 0.000 0.000 0.500
Na 0.500 0.500 0.000
Na 0.000 0.500 0.000
Na 0.000 0.000 0.000